Density functional theory data (PBE) for a geometry-optimized Ti2CoHW structure.

Unit cell a=4.313 b=4.313 c=3.251 alpha=90.00 beta=90.00 gamma=90.00
Space group P4/mmm (No. 123)
Inequivalent atoms, fractional coordinates:
Ti (0.000, 0.500, 0.000) (multiplicity 2)
Co (0.000, 0.000, 0.500) (multiplicity 1)
H (0.000, 0.000, 0.000) (multiplicity 1)
W (0.500, 0.500, 0.500) (multiplicity 1)

The calculation puts the electronic total energy at -40.21 eV per cell. The size of the total moment comes out at 0.076 μB per cell.


Density functional theory data (PBE) for a geometry-optimized Ti2ZnCoH structure.

Unit cell a=3.934 b=3.934 c=3.797 alpha=90.00 beta=90.00 gamma=90.00
Space group P4/mmm (No. 123)
Inequivalent atoms, fractional coordinates:
Ti (0.000, 0.500, 0.000) (multiplicity 2)
Zn (0.000, 0.000, 0.500) (multiplicity 1)
Co (0.500, 0.500, 0.500) (multiplicity 1)
H (0.000, 0.000, 0.000) (multiplicity 1)

The value obtained for the energy above the most stable polymorph in this dataset is 133 meV per atom. The calculation puts the electronic total energy at -28.23 eV per cell. The size of the total moment comes out at 0.413 μB per cell.


Density functional theory data (PBE) for a geometry-optimized Ti2ZnCoH structure.

Unit cell a=4.131 b=4.131 c=3.456 alpha=90.00 beta=90.00 gamma=90.00
Space group P4/mmm (No. 123)
Inequivalent atoms, fractional coordinates:
Ti (0.000, 0.500, 0.000) (multiplicity 2)
Zn (0.000, 0.000, 0.500) (multiplicity 1)
Co (0.500, 0.500, 0.500) (multiplicity 1)
H (0.500, 0.500, 0.000) (multiplicity 1)

The value obtained for the energy above the most stable polymorph in this dataset is 0 meV per atom. The calculation puts the electronic total energy at -28.90 eV per cell. The size of the total moment comes out at 0.004 μB per cell.


Density functional theory data (PBE) for a geometry-optimized TlCo3H structure.

Unit cell a=3.809 b=3.809 c=3.809 alpha=90.00 beta=90.00 gamma=90.00
Space group Pm-3m (No. 221)
Inequivalent atoms, fractional coordinates:
Tl (0.000, 0.000, 0.000) (multiplicity 1)
Co (0.000, 0.500, 0.500) (multiplicity 3)
H (0.500, 0.500, 0.500) (multiplicity 1)

The value obtained for the energy above the most stable polymorph in this dataset is 0 meV per atom. The calculation puts the electronic total energy at -25.45 eV per cell. The size of the total moment comes out at 3.063 μB per cell.


Density functional theory data (PBE) for a geometry-optimized TlCo3H structure.

Unit cell a=4.936 b=4.936 c=4.936 alpha=90.00 beta=90.00 gamma=90.00
Space group Pm-3m (No. 221)
Inequivalent atoms, fractional coordinates:
Tl (0.000, 0.000, 0.000) (multiplicity 1)
Co (0.000, 0.000, 0.500) (multiplicity 3)
H (0.500, 0.500, 0.500) (multiplicity 1)

The value obtained for the energy above the most stable polymorph in this dataset is 1897 meV per atom. The calculation puts the electronic total energy at -15.96 eV per cell. The size of the total moment comes out at 6.466 μB per cell.


Density functional theory data (PBE) for a geometry-optimized TlVCoH2 structure.

Unit cell a=3.646 b=3.646 c=4.994 alpha=90.00 beta=90.00 gamma=90.00
Space group P4/mmm (No. 123)
Inequivalent atoms, fractional coordinates:
Tl (0.000, 0.000, 0.000) (multiplicity 1)
V (0.500, 0.500, 0.000) (multiplicity 1)
Co (0.000, 0.000, 0.500) (multiplicity 1)
H (0.000, 0.500, 0.500) (multiplicity 2)

The calculation puts the electronic total energy at -20.19 eV per cell. The size of the total moment comes out at 0.000 μB per cell.


Density functional theory data (PBE) for a geometry-optimized Y2TlCoH structure.

Unit cell a=5.102 b=5.102 c=3.625 alpha=90.00 beta=90.00 gamma=90.00
Space group P4/mmm (No. 123)
Inequivalent atoms, fractional coordinates:
Y (0.000, 0.500, 0.000) (multiplicity 2)
Tl (0.000, 0.000, 0.500) (multiplicity 1)
Co (0.500, 0.500, 0.500) (multiplicity 1)
H (0.500, 0.500, 0.000) (multiplicity 1)

The calculation puts the electronic total energy at -27.05 eV per cell. The size of the total moment comes out at 0.434 μB per cell.


Density functional theory data (PBE) for a geometry-optimized Zr2TlCoH structure.

Unit cell a=4.478 b=4.478 c=3.974 alpha=90.00 beta=90.00 gamma=90.00
Space group P4/mmm (No. 123)
Inequivalent atoms, fractional coordinates:
Zr (0.000, 0.500, 0.000) (multiplicity 2)
Tl (0.000, 0.000, 0.500) (multiplicity 1)
Co (0.500, 0.500, 0.500) (multiplicity 1)
H (0.500, 0.500, 0.000) (multiplicity 1)

The calculation puts the electronic total energy at -30.55 eV per cell. The size of the total moment comes out at 1.606 μB per cell.


Density functional theory data (PBE) for a geometry-optimized TmCoH3 structure.

Unit cell a=10.972 b=3.658 c=4.475 alpha=90.00 beta=93.92 gamma=90.00
Space group C2/m (No. 12)
Inequivalent atoms, fractional coordinates:
Tm (0.136, 0.000, 0.233) (multiplicity 4)
Co (0.073, 0.500, 0.753) (multiplicity 4)
H (0.074, 0.500, 0.395) (multiplicity 4)
H (0.075, 0.000, 0.745) (multiplicity 4)
H (0.188, 0.500, 0.978) (multiplicity 4)

The calculation puts the electronic total energy at -95.53 eV per cell. The size of the total moment comes out at 0.000 μB per cell.


Density functional theory data (PBE) for a geometry-optimized TmCoH structure.

Unit cell a=3.5781 b=3.5781 c=3.5429 alpha=90.00 beta=90.00 gamma=120.00
Space group P-6m2 (No. 187)
Inequivalent atoms, fractional coordinates:
Tm (0.0000, 0.0000, 0.0000) (multiplicity 1)
Co (0.6667, 0.3333, 0.5000) (multiplicity 1)
H (0.3333, 0.6667, 0.5000) (multiplicity 1)

The value obtained for the energy above the most stable polymorph in this dataset is 391 meV per atom. The calculation puts the electronic total energy at -14.93 eV per cell. The size of the total moment comes out at 0.000 μB per cell.


Density functional theory data (PBE) for a geometry-optimized TmCo2H8 structure.

Unit cell a=4.948 b=7.672 c=3.589 alpha=90.00 beta=94.00 gamma=90.00
Space group C2/m (No. 12)
Inequivalent atoms, fractional coordinates:
Tm (0.000, 0.000, 0.000) (multiplicity 2)
Co (0.000, 0.323, 0.500) (multiplicity 4)
H (0.000, 0.301, 0.000) (multiplicity 4)
H (0.051, 0.500, 0.747) (multiplicity 4)
H (0.178, 0.142, 0.527) (multiplicity 8)

The value obtained for the energy above the most stable polymorph in this dataset is 0 meV per atom. The calculation puts the electronic total energy at -94.29 eV per cell. The size of the total moment comes out at 0.000 μB per cell.


Density functional theory data (PBE) for a geometry-optimized TmCoH structure.

Unit cell a=3.831 b=13.852 c=6.497 alpha=90.00 beta=90.00 gamma=90.00
Space group Cmce (No. 64)
Inequivalent atoms, fractional coordinates:
Tm (0.000, 0.137, 0.022) (multiplicity 8)
Co (0.000, 0.009, 0.668) (multiplicity 8)
H (0.000, 0.214, 0.376) (multiplicity 8)

The value obtained for the energy above the most stable polymorph in this dataset is 0 meV per atom. The calculation puts the electronic total energy at -128.85 eV per cell. The size of the total moment comes out at 4.434 μB per cell.


Density functional theory data (PBE) for a geometry-optimized TmCoH3 structure.

Unit cell a=3.450 b=3.450 c=3.450 alpha=90.00 beta=90.00 gamma=90.00
Space group Pm-3m (No. 221)
Inequivalent atoms, fractional coordinates:
Tm (0.000, 0.000, 0.000) (multiplicity 1)
Co (0.500, 0.500, 0.500) (multiplicity 1)
H (0.000, 0.500, 0.500) (multiplicity 3)

The calculation puts the electronic total energy at -23.99 eV per cell. The size of the total moment comes out at 0.000 μB per cell.


Density functional theory data (PBE) for a geometry-optimized TmCo2H6 structure.

Unit cell a=4.3121 b=4.3121 c=4.0306 alpha=90.00 beta=90.00 gamma=120.00
Space group P6/mmm (No. 191)
Inequivalent atoms, fractional coordinates:
Tm (0.0000, 0.0000, 0.0000) (multiplicity 1)
Co (0.3333, 0.6667, 0.5000) (multiplicity 2)
H (0.0000, 0.5000, 0.2373) (multiplicity 6)

The value obtained for the energy above the most stable polymorph in this dataset is 0 meV per atom. The calculation puts the electronic total energy at -41.56 eV per cell. The size of the total moment comes out at 1.521 μB per cell.


Density functional theory data (PBE) for a geometry-optimized TmCo2H8 structure.

Unit cell a=4.040 b=4.040 c=4.624 alpha=90.00 beta=90.00 gamma=90.00
Space group P4/mmm (No. 123)
Inequivalent atoms, fractional coordinates:
Tm (0.000, 0.000, 0.000) (multiplicity 1)
Co (0.000, 0.500, 0.500) (multiplicity 2)
H (0.283, 0.283, 0.311) (multiplicity 8)

The value obtained for the energy above the most stable polymorph in this dataset is 36 meV per atom. The calculation puts the electronic total energy at -46.75 eV per cell. The size of the total moment comes out at 0.709 μB per cell.


Density functional theory data (PBE) for a geometry-optimized Tm2CoH8 structure.

Unit cell a=13.077 b=3.451 c=4.060 alpha=90.00 beta=108.01 gamma=90.00
Space group C2/m (No. 12)
Inequivalent atoms, fractional coordinates:
Tm (0.144, 0.000, 0.144) (multiplicity 4)
Co (0.000, 0.500, 0.500) (multiplicity 2)
H (0.000, 0.000, 0.285) (multiplicity 4)
H (0.102, 0.500, 0.369) (multiplicity 4)
H (0.102, 0.500, 0.836) (multiplicity 4)
H (0.236, 0.000, 0.736) (multiplicity 4)

The calculation puts the electronic total energy at -92.99 eV per cell. The size of the total moment comes out at 0.000 μB per cell.


Density functional theory data (PBE) for a geometry-optimized Tm2Co2H7 structure.

Unit cell a=6.920 b=8.816 c=3.255 alpha=90.00 beta=110.31 gamma=90.00
Space group C2/m (No. 12)
Inequivalent atoms, fractional coordinates:
Tm (0.000, 0.202, 0.000) (multiplicity 4)
Co (0.206, 0.500, 0.313) (multiplicity 4)
H (0.000, 0.500, 0.500) (multiplicity 2)
H (0.207, 0.000, 0.141) (multiplicity 4)
H (0.219, 0.170, 0.674) (multiplicity 8)

The calculation puts the electronic total energy at -99.63 eV per cell. The size of the total moment comes out at 0.002 μB per cell.


Density functional theory data (PBE) for a geometry-optimized TmCo2H6 structure.

Unit cell a=8.105 b=3.525 c=5.899 alpha=90.00 beta=121.00 gamma=90.00
Space group C2/m (No. 12)
Inequivalent atoms, fractional coordinates:
Tm (0.000, 0.000, 0.000) (multiplicity 2)
Co (0.191, 0.000, 0.601) (multiplicity 4)
H (0.021, 0.000, 0.663) (multiplicity 4)
H (0.184, 0.500, 0.085) (multiplicity 4)
H (0.209, 0.500, 0.593) (multiplicity 4)

The value obtained for the energy above the most stable polymorph in this dataset is 110 meV per atom. The calculation puts the electronic total energy at -81.15 eV per cell. The size of the total moment comes out at 2.962 μB per cell.


Density functional theory data (PBE) for a geometry-optimized TmCoH4 structure.

Unit cell a=4.740 b=8.466 c=5.264 alpha=90.00 beta=106.70 gamma=90.00
Space group C2/c (No. 15)
Inequivalent atoms, fractional coordinates:
Tm (0.000, 0.135, 0.250) (multiplicity 4)
Co (0.000, 0.456, 0.250) (multiplicity 4)
H (0.012, 0.382, 0.956) (multiplicity 8)
H (0.170, 0.105, 0.674) (multiplicity 8)

The calculation puts the electronic total energy at -108.05 eV per cell. The size of the total moment comes out at 0.000 μB per cell.


Density functional theory data (PBE) for a geometry-optimized TmCoH6 structure.

Unit cell a=4.2176 b=4.2176 c=10.8332 alpha=90.00 beta=90.00 gamma=120.00
Space group R-3m (No. 166, hexagonal axes)
Inequivalent atoms, fractional coordinates:
Tm (0.0000, 0.0000, 0.0000) (multiplicity 3)
Co (0.0000, 0.0000, 0.5000) (multiplicity 3)
H (0.0138, 0.5069, 0.9101) (multiplicity 18)

The calculation puts the electronic total energy at -103.16 eV per cell. The size of the total moment comes out at 0.000 μB per cell.


Density functional theory data (PBE) for a geometry-optimized UCoH2 structure.

Unit cell a=2.8569 b=2.8569 c=15.5899 alpha=90.00 beta=90.00 gamma=120.00
Space group R-3m (No. 166, hexagonal axes)
Inequivalent atoms, fractional coordinates:
U (0.0000, 0.0000, 0.0000) (multiplicity 3)
Co (0.0000, 0.0000, 0.5000) (multiplicity 3)
H (0.0000, 0.0000, 0.2172) (multiplicity 6)

The calculation puts the electronic total energy at -75.41 eV per cell. The size of the total moment comes out at 4.643 μB per cell.


Density functional theory data (PBE) for a geometry-optimized UCoH4 structure.

Unit cell a=3.273 b=3.273 c=4.486 alpha=90.00 beta=90.00 gamma=90.00
Space group P4/mmm (No. 123)
Inequivalent atoms, fractional coordinates:
U (0.000, 0.000, 0.000) (multiplicity 1)
Co (0.500, 0.500, 0.500) (multiplicity 1)
H (0.000, 0.500, 0.500) (multiplicity 2)
H (0.500, 0.500, 0.157) (multiplicity 2)

The calculation puts the electronic total energy at -32.34 eV per cell. The size of the total moment comes out at 3.362 μB per cell.


Density functional theory data (PBE) for a geometry-optimized U2CoH4 structure.

Unit cell a=3.220 b=3.220 c=13.675 alpha=90.00 beta=90.00 gamma=90.00
Space group I4/mmm (No. 139)
Inequivalent atoms, fractional coordinates:
U (0.000, 0.000, 0.144) (multiplicity 4)
Co (0.000, 0.000, 0.500) (multiplicity 2)
H (0.000, 0.000, 0.308) (multiplicity 4)
H (0.000, 0.500, 0.000) (multiplicity 4)

The calculation puts the electronic total energy at -87.15 eV per cell. The size of the total moment comes out at 8.863 μB per cell.


Density functional theory data (PBE) for a geometry-optimized UCo2H8 structure.

Unit cell a=4.715 b=7.908 c=3.730 alpha=90.00 beta=90.15 gamma=90.00
Space group C2/m (No. 12)
Inequivalent atoms, fractional coordinates:
U (0.000, 0.000, 0.000) (multiplicity 2)
Co (0.000, 0.329, 0.500) (multiplicity 4)
H (0.000, 0.302, 0.000) (multiplicity 4)
H (0.001, 0.500, 0.751) (multiplicity 4)
H (0.167, 0.140, 0.501) (multiplicity 8)

The value obtained for the energy above the most stable polymorph in this dataset is 0 meV per atom. The calculation puts the electronic total energy at -105.35 eV per cell. The size of the total moment comes out at 6.338 μB per cell.


Density functional theory data (PBE) for a geometry-optimized UCo5H11 structure.

Unit cell a=7.048 b=7.601 c=4.592 alpha=90.00 beta=112.21 gamma=90.00
Space group C2/m (No. 12)
Inequivalent atoms, fractional coordinates:
U (0.000, 0.000, 0.000) (multiplicity 2)
Co (0.000, 0.500, 0.000) (multiplicity 2)
Co (0.186, 0.175, 0.712) (multiplicity 8)
H (0.000, 0.000, 0.500) (multiplicity 2)
H (0.091, 0.245, 0.345) (multiplicity 8)
H (0.165, 0.367, 0.898) (multiplicity 8)
H (0.185, 0.500, 0.362) (multiplicity 4)

The calculation puts the electronic total energy at -166.32 eV per cell. The size of the total moment comes out at 0.438 μB per cell.